Record 1
Density functional theory data (meta-GGA SCAN) for SrNbAg2Rh at its PBEsol-relaxed geometry.

Output
The energy relative to the elements is 0.535 eV per atom.

a = 4.650 Å, b = 5.184 Å, c = 5.184 Å
α = 90.00°, β = 90.00°, γ = 90.00°
Fractional coordinates of all 5 atoms:
1 Sr 0.500 0.500 0.500
2 Nb 0.000 0.000 0.000
3 Rh 0.500 0.000 0.000
4 Ag 0.000 0.000 0.500
5 Ag 0.000 0.500 0.000

Record 2
Density functional theory data (meta-GGA SCAN) for CaZrF2 at its PBEsol-relaxed geometry.

Output
As for the uncorrected formation energy: -2.6234 eV per atom.

a = 3.607 Å, b = 3.607 Å, c = 6.491 Å
α = 73.87°, β = 73.87°, γ = 60.00°
Fractional coordinates of all 4 atoms:
1 Ca 0.500 0.500 0.500
2 Zr 0.000 0.000 0.000
3 F 0.880 0.880 0.360
4 F 0.120 0.120 0.640

Record 3
Density functional theory data (meta-GGA SCAN) for Cd3PI3 at its PBEsol-relaxed geometry.

Output
As for the uncorrected formation energy: -0.4679 eV per atom.

a = 4.410 Å, b = 7.256 Å, c = 7.632 Å
α = 90.24°, β = 90.00°, γ = 90.00°
Fractional coordinates of all 7 atoms:
1 I 0.000 0.070 0.325
2 I 0.000 0.555 0.662
3 I 0.500 0.551 0.191
4 P 0.500 0.053 0.817
5 Cd 0.500 0.391 0.857
6 Cd 0.000 0.961 0.698
7 Cd 0.500 0.928 0.116

Record 4
Density functional theory data (meta-GGA SCAN) for SrCa3 at its PBEsol-relaxed geometry.

Output
The energy relative to the elements is 0.015 eV per atom.

a = 5.568 Å, b = 5.568 Å, c = 6.815 Å
α = 114.11°, β = 114.11°, γ = 90.00°
Fractional coordinates of all 4 atoms:
1 Sr 0.000 0.000 0.000
2 Ca 0.750 0.250 0.500
3 Ca 0.500 0.500 0.000
4 Ca 0.250 0.750 0.500